Entry 1:
MoAsPt3 after structural relaxation, computed with GGA-PBE.

Cell lengths 4.647, 4.647, 4.647 Å; angles 90.00, 90.00, 90.00 degrees
Positions (direct):
Mo 0.000 0.000 0.000
As 0.500 0.500 0.500
Pt 0.000 0.500 0.500
Pt 0.500 0.000 0.500
Pt 0.500 0.500 0.000

Computed properties:
For the total energy, the calculation gives -5.912 eV/atom. As for the polymorph energy (0 for the lowest one): 0.0000 eV/atom.

Entry 2:
MoAs2Pt after structural relaxation, computed with GGA-PBE.

Cell lengths 4.594, 4.594, 4.784 Å; angles 104.21, 104.21, 43.72 degrees
Positions (direct):
Mo 0.000 0.000 0.000
As 0.487 0.487 0.408
As 0.716 0.716 0.022
Pt 0.232 0.232 0.599

Computed properties:
For the total energy, the calculation gives -6.666 eV/atom. As for the polymorph energy (0 for the lowest one): 0.0125 eV/atom.

Entry 3:
MoAs2Pt after structural relaxation, computed with GGA-PBE.

Cell lengths 6.068, 6.068, 6.068 Å; angles 147.53, 145.34, 48.23 degrees
Positions (direct):
Mo 0.000 0.000 0.000
As 0.582 0.582 0.000
As 0.829 0.329 0.500
Pt 0.261 0.761 0.500

Computed properties:
For the total energy, the calculation gives -6.570 eV/atom. As for the polymorph energy (0 for the lowest one): 0.1089 eV/atom.

Entry 4:
MoAsPt after structural relaxation, computed with GGA-PBE.

Cell lengths 4.291, 4.291, 4.291 Å; angles 60.00, 60.00, 60.00 degrees
Positions (direct):
Mo 0.000 0.000 0.000
As 0.750 0.750 0.750
Pt 0.250 0.250 0.250

Computed properties:
For the total energy, the calculation gives -7.088 eV/atom. As for the polymorph energy (0 for the lowest one): 0.1046 eV/atom.

Entry 5:
MoAsPt2 after structural relaxation, computed with GGA-PBE.

Cell lengths 2.912, 4.046, 5.420 Å; angles 90.00, 90.80, 90.00 degrees
Positions (direct):
Mo 0.000 0.000 0.000
As 0.000 0.000 0.500
Pt 0.493 0.500 0.758
Pt 0.507 0.500 0.242

Computed properties:
For the total energy, the calculation gives -6.977 eV/atom.

Entry 6:
MoAsPt2 after structural relaxation, computed with GGA-PBE.

Cell lengths 4.865, 4.865, 2.778 Å; angles 90.00, 90.00, 90.00 degrees
Positions (direct):
Mo 0.000 0.000 0.000
As 0.500 0.500 0.000
Pt 0.000 0.500 0.500
Pt 0.500 0.000 0.500

Computed properties:
For the total energy, the calculation gives -6.818 eV/atom.

Entry 7:
MoAsPt2 after structural relaxation, computed with GGA-PBE.

Cell lengths 9.205, 9.205, 9.205 Å; angles 17.88, 17.88, 17.88 degrees
Positions (direct):
Mo 0.000 0.000 0.000
As 0.500 0.500 0.500
Pt 0.251 0.251 0.251
Pt 0.749 0.749 0.749

Computed properties:
For the total energy, the calculation gives -6.931 eV/atom.

Entry 8:
MoAsPt2 after structural relaxation, computed with GGA-PBE.

Cell lengths 2.841, 2.841, 8.090 Å; angles 90.00, 90.00, 90.00 degrees
Positions (direct):
Mo 0.000 0.000 0.000
As 0.000 0.000 0.500
Pt 0.500 0.500 0.232
Pt 0.500 0.500 0.768

Computed properties:
For the total energy, the calculation gives -7.036 eV/atom.

Entry 9:
MoAs2Pt after structural relaxation, computed with GGA-PBE.

Cell lengths 4.445, 4.445, 5.163 Å; angles 97.21, 97.21, 40.99 degrees
Positions (direct):
Mo 0.000 0.000 0.000
As 0.271 0.271 0.779
As 0.729 0.729 0.221
Pt 0.500 0.500 0.500

Computed properties:
For the total energy, the calculation gives -6.512 eV/atom. As for the polymorph energy (0 for the lowest one): 0.1664 eV/atom.

Entry 10:
MoAs3Pt after structural relaxation, computed with GGA-PBE.

Cell lengths 4.805, 4.805, 4.805 Å; angles 90.00, 90.00, 90.00 degrees
Positions (direct):
Mo 0.000 0.000 0.000
As 0.000 0.000 0.500
As 0.000 0.500 0.000
As 0.500 0.000 0.000
Pt 0.500 0.500 0.500

Computed properties:
For the total energy, the calculation gives -5.481 eV/atom. As for the polymorph energy (0 for the lowest one): 0.0000 eV/atom.

Entry 11:
MoAsPt2 after structural relaxation, computed with GGA-PBE.

Cell lengths 5.058, 5.058, 5.058 Å; angles 135.21, 135.21, 65.21 degrees
Positions (direct):
Mo 0.000 0.000 0.000
As 0.500 0.500 0.000
Pt 0.250 0.750 0.500
Pt 0.750 0.250 0.500

Computed properties:
For the total energy, the calculation gives -6.865 eV/atom.

Entry 12:
MoAsPt2 after structural relaxation, computed with GGA-PBE.

Cell lengths 4.699, 4.699, 4.699 Å; angles 130.51, 123.32, 78.52 degrees
Positions (direct):
Mo 0.000 0.000 0.000
As 0.779 0.279 0.500
Pt 0.288 0.788 0.500
Pt 0.561 0.561 0.000

Computed properties:
For the total energy, the calculation gives -6.928 eV/atom.

Entry 13:
MoAsPt2 after structural relaxation, computed with GGA-PBE.

Cell lengths 5.031, 5.031, 4.462 Å; angles 92.86, 92.86, 34.69 degrees
Positions (direct):
Mo 0.000 0.000 0.000
As 0.500 0.500 0.500
Pt 0.270 0.270 0.758
Pt 0.730 0.730 0.242

Computed properties:
For the total energy, the calculation gives -6.959 eV/atom.

Entry 14:
MoAsPt3 after structural relaxation, computed with GGA-PBE.

Cell lengths 4.819, 4.819, 4.819 Å; angles 90.00, 90.00, 90.00 degrees
Positions (direct):
Mo 0.000 0.000 0.000
As 0.500 0.500 0.500
Pt 0.000 0.000 0.500
Pt 0.000 0.500 0.000
Pt 0.500 0.000 0.000

Computed properties:
For the total energy, the calculation gives -5.491 eV/atom. As for the polymorph energy (0 for the lowest one): 0.4217 eV/atom.

Entry 15:
MoAsPt2 after structural relaxation, computed with GGA-PBE.

Cell lengths 4.040, 5.685, 5.685 Å; angles 29.06, 90.00, 90.00 degrees
Positions (direct):
Mo 0.000 0.000 0.000
As 0.500 0.389 0.389
Pt 0.000 0.253 0.253
Pt 0.500 0.620 0.620

Computed properties:
For the total energy, the calculation gives -7.023 eV/atom.

Entry 16:
MoAs2Pt after structural relaxation, computed with GGA-PBE.

Cell lengths 4.374, 4.374, 3.304 Å; angles 90.00, 90.00, 90.00 degrees
Positions (direct):
Mo 0.000 0.000 0.000
As 0.000 0.500 0.500
As 0.500 0.000 0.500
Pt 0.500 0.500 0.000

Computed properties:
For the total energy, the calculation gives -6.576 eV/atom. As for the polymorph energy (0 for the lowest one): 0.1021 eV/atom.

Entry 17:
MoAs2Pt after structural relaxation, computed with GGA-PBE.

Cell lengths 2.849, 2.849, 9.381 Å; angles 90.00, 90.00, 90.00 degrees
Positions (direct):
Mo 0.000 0.000 0.000
As 0.000 0.000 0.414
As 0.500 0.500 0.800
Pt 0.500 0.500 0.198

Computed properties:
For the total energy, the calculation gives -6.583 eV/atom. As for the polymorph energy (0 for the lowest one): 0.0952 eV/atom.

Entry 18:
MoAs2Pt after structural relaxation, computed with GGA-PBE.

Cell lengths 10.190, 10.190, 10.190 Å; angles 16.54, 16.54, 16.54 degrees
Positions (direct):
Mo 0.000 0.000 0.000
As 0.266 0.266 0.266
As 0.478 0.478 0.478
Pt 0.742 0.742 0.742

Computed properties:
For the total energy, the calculation gives -6.450 eV/atom. As for the polymorph energy (0 for the lowest one): 0.2282 eV/atom.

Entry 19:
MoAs2Pt after structural relaxation, computed with GGA-PBE.

Cell lengths 3.007, 3.200, 7.171 Å; angles 90.00, 90.00, 90.00 degrees
Positions (direct):
Mo 0.000 0.000 0.000
As 0.500 0.500 0.213
As 0.500 0.500 0.787
Pt 0.000 0.500 0.500

Computed properties:
For the total energy, the calculation gives -6.574 eV/atom. As for the polymorph energy (0 for the lowest one): 0.1049 eV/atom.

Entry 20:
MoAsPt after structural relaxation, computed with GGA-PBE.

Cell lengths 4.306, 4.306, 3.002 Å; angles 90.00, 90.00, 120.00 degrees
Positions (direct):
Mo 0.000 0.000 0.000
As 0.333 0.667 0.813
Pt 0.667 0.333 0.505

Computed properties:
For the total energy, the calculation gives -7.139 eV/atom. As for the polymorph energy (0 for the lowest one): 0.0538 eV/atom.

Entry 21:
MoAsPt2 after structural relaxation, computed with GGA-PBE.

Cell lengths 3.819, 3.819, 4.343 Å; angles 90.00, 90.00, 90.00 degrees
Positions (direct):
Mo 0.000 0.000 0.000
As 0.500 0.500 0.000
Pt 0.000 0.500 0.500
Pt 0.500 0.000 0.500

Computed properties:
For the total energy, the calculation gives -6.899 eV/atom.

Entry 22:
MoAsPt after structural relaxation, computed with GGA-PBE.

Cell lengths 7.359, 7.359, 7.359 Å; angles 34.77, 34.77, 34.77 degrees
Positions (direct):
Mo 0.061 0.061 0.061
Mo 0.939 0.939 0.939
As 0.221 0.221 0.221
As 0.779 0.779 0.779
Pt 0.344 0.344 0.344
Pt 0.656 0.656 0.656

Computed properties:
For the total energy, the calculation gives -7.090 eV/atom. As for the polymorph energy (0 for the lowest one): 0.1021 eV/atom.

Entry 23:
MoAs2Pt after structural relaxation, computed with GGA-PBE.

Cell lengths 6.898, 6.898, 6.898 Å; angles 131.67, 131.67, 70.76 degrees
Positions (direct):
Mo 0.000 0.000 0.000
Mo 0.750 0.250 0.500
As 0.123 0.625 0.998
As 0.375 0.373 0.498
As 0.627 0.125 0.002
As 0.875 0.877 0.502
Pt 0.250 0.750 0.500
Pt 0.500 0.500 0.000

Computed properties:
For the total energy, the calculation gives -6.367 eV/atom. As for the polymorph energy (0 for the lowest one): 0.3112 eV/atom.

Entry 24:
MoAsPt2 after structural relaxation, computed with GGA-PBE.

Cell lengths 4.473, 4.473, 4.473 Å; angles 119.80, 119.80, 90.34 degrees
Positions (direct):
Mo 0.000 0.000 0.000
As 0.750 0.250 0.500
Pt 0.250 0.750 0.500
Pt 0.500 0.500 0.000

Computed properties:
For the total energy, the calculation gives -6.911 eV/atom.

Entry 25:
MoAsPt after structural relaxation, computed with GGA-PBE.

Cell lengths 5.359, 5.359, 5.359 Å; angles 146.13, 146.13, 48.66 degrees
Positions (direct):
Mo 0.000 0.000 0.000
As 0.361 0.361 0.000
Pt 0.684 0.684 0.000

Computed properties:
For the total energy, the calculation gives -7.192 eV/atom. As for the polymorph energy (0 for the lowest one): 0.0000 eV/atom.

Entry 26:
MoAsPt2 after structural relaxation, computed with GGA-PBE.

Cell lengths 2.905, 3.245, 6.704 Å; angles 90.00, 90.00, 90.00 degrees
Positions (direct):
Mo 0.000 0.000 0.000
As 0.500 0.500 0.765
Pt 0.000 0.000 0.534
Pt 0.500 0.500 0.246

Computed properties:
For the total energy, the calculation gives -6.945 eV/atom.

Entry 27:
MoAs2Pt after structural relaxation, computed with GGA-PBE.

Cell lengths 4.558, 4.558, 4.558 Å; angles 60.00, 60.00, 60.00 degrees
Positions (direct):
Mo 0.000 0.000 0.000
As 0.500 0.500 0.500
As 0.750 0.750 0.750
Pt 0.250 0.250 0.250

Computed properties:
For the total energy, the calculation gives -6.200 eV/atom. As for the polymorph energy (0 for the lowest one): 0.4786 eV/atom.

Entry 28:
MoAs2Pt after structural relaxation, computed with GGA-PBE.

Cell lengths 8.250, 8.250, 8.250 Å; angles 21.49, 21.49, 21.49 degrees
Positions (direct):
Mo 0.000 0.000 0.000
As 0.255 0.255 0.255
As 0.745 0.745 0.745
Pt 0.500 0.500 0.500

Computed properties:
For the total energy, the calculation gives -6.549 eV/atom. As for the polymorph energy (0 for the lowest one): 0.1298 eV/atom.

Entry 29:
MoAs2PtRh after structural relaxation, computed with GGA-PBE.

Cell lengths 4.750, 4.750, 5.034 Å; angles 90.00, 90.00, 90.00 degrees
Positions (direct):
Mo 0.000 0.000 0.000
As 0.000 0.500 0.500
As 0.500 0.000 0.500
Pt 0.000 0.000 0.500
Rh 0.500 0.500 0.000

Computed properties:
For the total energy, the calculation gives -5.344 eV/atom.

Entry 30:
RbMoAs3 after structural relaxation, computed with GGA-PBE.

Cell lengths 5.020, 5.020, 5.020 Å; angles 90.00, 90.00, 90.00 degrees
Positions (direct):
Rb 0.000 0.000 0.000
Mo 0.500 0.500 0.500
As 0.000 0.500 0.500
As 0.500 0.000 0.500
As 0.500 0.500 0.000

Computed properties:
For the total energy, the calculation gives -5.102 eV/atom. As for the polymorph energy (0 for the lowest one): 0.0000 eV/atom.